8
Lattice="-2.760 -1.883 2.762 5.288 -5.019 1.862 4.003 2.659 5.813" Properties=species:S:1:pos:R:3 comment="LiNd2ScTe4 | the Alexandria database | PBE-GGA | optimized geometry" dos_at_fermi_per_ev_atom=0.4584 space_group="P2/m (10)" vol_a3_per_cell=232.4 energy_ev_per_fu=-40.74 pbc="T T T"
Li 1.264 -3.451 2.312
Nd 4.003 2.659 5.813
Nd 0.622 0.388 4.288
Sc 4.646 -1.180 3.838
Te 6.870 -1.625 5.757
Te -0.339 -2.617 4.681
Te 3.480 -3.892 4.226
Te 3.052 -0.350 6.212